Record 1
TmCuSbPd: optimized geometry, GGA-PBE.

a = 4.749 Å, b = 4.749 Å, c = 4.749 Å
α = 60.00°, β = 60.00°, γ = 60.00°
Sites, in units of the cell vectors:
Sb 0.500 0.500 0.500
Tm 0.000 0.000 0.000
Cu 0.750 0.750 0.750
Pd 0.250 0.250 0.250

Results
- Raw formation energy: -0.578 eV per atom

***

Record 2
CeGdRuPt: optimized geometry, GGA-PBE.

a = 4.946 Å, b = 4.946 Å, c = 4.946 Å
α = 60.00°, β = 60.00°, γ = 60.00°
Site moments in Bohr magnetons follow the coordinates.
Sites, in units of the cell vectors:
Ru 0.250 0.250 0.250  -0.02
Gd 0.500 0.500 0.500  6.97
Ce 0.000 0.000 0.000  -0.39
Pt 0.750 0.750 0.750  0.01

Results
- Formation energy: -663 meV per atom

***

Record 3
EuDyIrAu: optimized geometry, GGA-PBE.

a = 5.023 Å, b = 5.023 Å, c = 5.023 Å
α = 60.00°, β = 60.00°, γ = 60.00°
Site moments in Bohr magnetons follow the coordinates.
Sites, in units of the cell vectors:
Eu 0.750 0.750 0.750  6.74
Ir 0.500 0.500 0.500  -0.09
Au 0.000 0.000 0.000  0.01
Dy 0.250 0.250 0.250  0.06

Results
- Formation energy: -651 meV per atom

***

Record 4
Sm2MgAu: optimized geometry, GGA-PBE.

a = 3.878 Å, b = 3.878 Å, c = 9.515 Å
α = 78.24°, β = 78.24°, γ = 60.00°
Sites, in units of the cell vectors:
Mg 0.500 0.500 0.500
Au 0.000 0.000 0.000
Sm 0.262 0.262 0.215
Sm 0.738 0.738 0.785

Results
- Formation energy: -245 meV per atom
- Relative energy among the computed polymorphs: 0.201 eV per atom

***

Record 5
TmPuAgSb: optimized geometry, GGA-PBE.

a = 5.224 Å, b = 5.224 Å, c = 5.224 Å
α = 60.00°, β = 60.00°, γ = 60.00°
Site moments in Bohr magnetons follow the coordinates.
Sites, in units of the cell vectors:
Sb 0.250 0.250 0.250  -0.04
Tm 0.000 0.000 0.000  0.55
Ag 0.750 0.750 0.750  0.06
Pu 0.500 0.500 0.500  5.65

Results
- Raw formation energy: -0.398 eV per atom

***

Record 6
BaCo2Si: optimized geometry, GGA-PBE.

a = 5.110 Å, b = 5.110 Å, c = 5.110 Å
α = 135.26°, β = 109.77°, γ = 87.21°
Site moments in Bohr magnetons follow the coordinates.
Sites, in units of the cell vectors:
Ba 0.250 0.750 0.500  -0.04
Co 0.909 0.909 0.000  0.80
Co 0.591 0.591 0.000  0.80
Si 0.750 0.250 0.500  -0.04

Results
- Raw formation energy: 0.371 eV per atom

***

| no. | uncorrected energy (eV per cell) |
| --- | --- |
| 1 | -20.20 |
| 2 | -37.99 |
| 3 | -29.62 |
| 4 | -15.29 |
| 5 | -27.37 |
| 6 | -20.07 |